## NdDyBeAl (PBE)

Data for an optimized crystal structure of NdDyBeAl.

a = 5.073 Å, b = 5.073 Å, c = 5.073 Å
α = 60.00°, β = 60.00°, γ = 60.00°
Positions (direct):
Be 0.000 0.000 0.000
Nd 0.750 0.750 0.750
Al 0.500 0.500 0.500
Dy 0.250 0.250 0.250

Values from the calculation:
- size of the total moment (μB/f.u.) = 0.00
- DOS at the Fermi energy (states/eV/cell) = 4.020
- density (Mg/m³) = 6.2
- crystal system = cubic

## DyBeAl3Ni (PBE)

Data for an optimized crystal structure of DyBeAl3Ni.

a = 5.582 Å, b = 6.099 Å, c = 6.656 Å
α = 117.27°, β = 90.00°, γ = 90.00°
Positions (direct):
Dy 0.750 0.281 0.562
Dy 0.250 0.719 0.438
Be 0.250 0.354 0.708
Be 0.750 0.646 0.292
Al 0.250 0.145 0.291
Al 0.000 0.292 0.000
Al 0.500 0.708 0.000
Al 0.500 0.292 0.000
Al 0.000 0.708 0.000
Al 0.750 0.855 0.709
Ni 0.250 0.936 0.873
Ni 0.750 0.064 0.127

Values from the calculation:
- size of the total moment (μB/f.u.) = 0.00
- DOS at the Fermi energy (states/eV/cell) = 4.743
- density (Mg/m³) = 5.1
- crystal system = orthorhombic

## Dy2Be2AlNi5 (PBE)

Data for an optimized crystal structure of Dy2Be2AlNi5.

a = 3.296 Å, b = 9.066 Å, c = 9.066 Å
α = 90.00°, β = 90.00°, γ = 90.00°
Positions (direct):
Dy 0.000 0.681 0.181
Dy 0.000 0.319 0.819
Dy 0.000 0.181 0.319
Dy 0.000 0.819 0.681
Be 0.000 0.113 0.613
Be 0.000 0.887 0.387
Be 0.000 0.613 0.887
Be 0.000 0.387 0.113
Al 0.000 0.000 0.000
Al 0.000 0.500 0.500
Ni 0.500 0.220 0.064
Ni 0.500 0.780 0.936
Ni 0.500 0.064 0.780
Ni 0.500 0.720 0.436
Ni 0.500 0.936 0.220
Ni 0.500 0.280 0.564
Ni 0.500 0.564 0.720
Ni 0.500 0.436 0.280
Ni 0.500 0.500 0.000
Ni 0.500 0.000 0.500

Values from the calculation:
- size of the total moment (μB/f.u.) = 0.00
- DOS at the Fermi energy (states/eV/cell) = 11.402
- density (Mg/m³) = 8.1
- crystal system = tetragonal

## Dy2BeAlPd6 (PBE)

Data for an optimized crystal structure of Dy2BeAlPd6.

a = 5.756 Å, b = 7.134 Å, c = 5.737 Å
α = 65.73°, β = 59.89°, γ = 89.97°
Positions (direct):
Dy 0.731 0.290 0.538
Dy 0.269 0.710 0.462
Be 0.000 0.000 0.000
Al 0.500 0.500 0.000
Pd 0.220 0.277 0.560
Pd 0.816 0.836 0.854
Pd 0.331 0.836 0.854
Pd 0.669 0.164 0.146
Pd 0.184 0.164 0.146
Pd 0.780 0.723 0.440

Values from the calculation:
- size of the total moment (μB/f.u.) = 0.00
- DOS at the Fermi energy (states/eV/cell) = 2.181
- density (Mg/m³) = 9.3
- crystal system = monoclinic

## DyBeAl3Pd (PBE)

Data for an optimized crystal structure of DyBeAl3Pd.

a = 5.929 Å, b = 6.007 Å, c = 6.642 Å
α = 116.88°, β = 90.00°, γ = 90.00°
Positions (direct):
Dy 0.750 0.279 0.557
Dy 0.250 0.721 0.443
Be 0.250 0.943 0.885
Be 0.750 0.057 0.115
Al 0.250 0.144 0.287
Al 0.000 0.280 0.000
Al 0.500 0.720 0.000
Al 0.500 0.280 0.000
Al 0.000 0.720 0.000
Al 0.750 0.856 0.713
Pd 0.250 0.356 0.713
Pd 0.750 0.644 0.287

Values from the calculation:
- size of the total moment (μB/f.u.) = 0.00
- DOS at the Fermi energy (states/eV/cell) = 4.732
- density (Mg/m³) = 5.6
- crystal system = orthorhombic

## PmDyBeAl (PBE)

Data for an optimized crystal structure of PmDyBeAl.

a = 5.054 Å, b = 5.054 Å, c = 5.054 Å
α = 60.00°, β = 60.00°, γ = 60.00°
Positions (direct):
Be 0.000 0.000 0.000
Pm 0.750 0.750 0.750
Al 0.500 0.500 0.500
Dy 0.250 0.250 0.250

Values from the calculation:
- size of the total moment (μB/f.u.) = 0.00
- DOS at the Fermi energy (states/eV/cell) = 4.008
- density (Mg/m³) = 6.2
- crystal system = cubic

## Dy2BeAlPt6 (PBE)

Data for an optimized crystal structure of Dy2BeAlPt6.

a = 5.652 Å, b = 7.372 Å, c = 7.372 Å
α = 45.08°, β = 67.46°, γ = 90.00°
Positions (direct):
Dy 0.791 0.210 0.419
Dy 0.209 0.790 0.581
Be 0.000 0.000 0.000
Al 0.500 0.500 0.000
Pt 0.242 0.269 0.517
Pt 0.731 0.759 0.027
Pt 0.242 0.759 0.027
Pt 0.758 0.241 0.973
Pt 0.269 0.241 0.973
Pt 0.758 0.731 0.483

Values from the calculation:
- size of the total moment (μB/f.u.) = 0.00
- DOS at the Fermi energy (states/eV/cell) = 2.351
- density (Mg/m³) = 13.9
- crystal system = trigonal

## DyBe2AlPt4 (PBE)

Data for an optimized crystal structure of DyBe2AlPt4.

a = 4.099 Å, b = 4.099 Å, c = 8.908 Å
α = 76.70°, β = 76.70°, γ = 60.00°
Positions (direct):
Dy 0.000 0.000 0.000
Be 0.755 0.755 0.734
Be 0.245 0.245 0.266
Al 0.500 0.500 0.500
Pt 0.403 0.403 0.791
Pt 0.869 0.869 0.392
Pt 0.131 0.131 0.608
Pt 0.597 0.597 0.209

Values from the calculation:
- size of the total moment (μB/f.u.) = 0.00
- DOS at the Fermi energy (states/eV/cell) = 3.925
- density (Mg/m³) = 13.1
- crystal system = trigonal

## Dy3Be2AlPt9 (PBE)

Data for an optimized crystal structure of Dy3Be2AlPt9.

a = 5.731 Å, b = 5.731 Å, c = 9.425 Å
α = 90.00°, β = 90.00°, γ = 120.00°
Positions (direct):
Dy 0.333 0.667 0.604
Dy 0.000 0.000 0.000
Dy 0.667 0.333 0.396
Be 0.333 0.667 0.153
Be 0.667 0.333 0.847
Al 0.000 0.000 0.500
Pt 0.835 0.165 0.697
Pt 0.835 0.671 0.697
Pt 0.329 0.165 0.697
Pt 0.671 0.835 0.303
Pt 0.165 0.329 0.303
Pt 0.165 0.835 0.303
Pt 0.500 0.000 0.000
Pt 0.000 0.500 0.000
Pt 0.500 0.500 0.000

Values from the calculation:
- size of the total moment (μB/f.u.) = 0.00
- DOS at the Fermi energy (states/eV/cell) = 5.692
- density (Mg/m³) = 14.2
- crystal system = trigonal

## DyBeAlPt2 (PBE)

Data for an optimized crystal structure of DyBeAlPt2.

a = 3.830 Å, b = 3.830 Å, c = 6.488 Å
α = 107.17°, β = 107.17°, γ = 90.00°
Positions (direct):
Dy 0.000 0.000 0.000
Be 0.750 0.250 0.500
Al 0.250 0.750 0.500
Pt 0.619 0.619 0.237
Pt 0.381 0.381 0.763

Values from the calculation:
- size of the total moment (μB/f.u.) = 0.00
- DOS at the Fermi energy (states/eV/cell) = 2.279
- density (Mg/m³) = 11.3
- crystal system = tetragonal

## Dy2BeAl3Pt4 (PBE)

Data for an optimized crystal structure of Dy2BeAl3Pt4.

a = 4.099 Å, b = 4.099 Å, c = 10.610 Å
α = 90.00°, β = 90.00°, γ = 90.00°
Positions (direct):
Dy 0.500 0.000 0.261
Dy 0.000 0.500 0.739
Be 0.500 0.500 0.500
Al 0.000 0.000 0.500
Al 0.500 0.000 0.864
Al 0.000 0.500 0.136
Pt 0.500 0.500 0.000
Pt 0.000 0.000 0.000
Pt 0.500 0.000 0.630
Pt 0.000 0.500 0.370

Values from the calculation:
- size of the total moment (μB/f.u.) = 0.00
- DOS at the Fermi energy (states/eV/cell) = 6.719
- density (Mg/m³) = 11.1
- crystal system = tetragonal

## DyBeAlPt3 (PBE)

Data for an optimized crystal structure of DyBeAlPt3.

a = 5.480 Å, b = 6.825 Å, c = 6.746 Å
α = 120.39°, β = 90.00°, γ = 90.00°
Positions (direct):
Dy 0.750 0.299 0.598
Dy 0.250 0.701 0.402
Be 0.250 0.384 0.769
Be 0.750 0.616 0.231
Al 0.250 0.972 0.944
Al 0.750 0.028 0.056
Pt 0.250 0.193 0.385
Pt 0.000 0.298 0.000
Pt 0.500 0.702 0.000
Pt 0.500 0.298 0.000
Pt 0.000 0.702 0.000
Pt 0.750 0.807 0.615

Values from the calculation:
- size of the total moment (μB/f.u.) = 0.00
- DOS at the Fermi energy (states/eV/cell) = 6.194
- density (Mg/m³) = 12.0
- crystal system = orthorhombic

## Dy2Be3AlPt4 (PBE)

Data for an optimized crystal structure of Dy2Be3AlPt4.

a = 4.039 Å, b = 4.039 Å, c = 9.883 Å
α = 90.00°, β = 90.00°, γ = 90.00°
Positions (direct):
Dy 0.500 0.000 0.240
Dy 0.000 0.500 0.760
Be 0.000 0.000 0.500
Be 0.500 0.000 0.881
Be 0.000 0.500 0.119
Al 0.500 0.500 0.500
Pt 0.500 0.500 0.000
Pt 0.000 0.000 0.000
Pt 0.500 0.000 0.644
Pt 0.000 0.500 0.356

Values from the calculation:
- size of the total moment (μB/f.u.) = 0.00
- DOS at the Fermi energy (states/eV/cell) = 4.569
- density (Mg/m³) = 11.9
- crystal system = tetragonal

## Dy2Be2AlRh5 (PBE)

Data for an optimized crystal structure of Dy2Be2AlRh5.

a = 3.192 Å, b = 9.649 Å, c = 9.649 Å
α = 90.00°, β = 90.00°, γ = 90.00°
Positions (direct):
Dy 0.000 0.676 0.176
Dy 0.000 0.324 0.824
Dy 0.000 0.176 0.324
Dy 0.000 0.824 0.676
Be 0.000 0.122 0.622
Be 0.000 0.878 0.378
Be 0.000 0.622 0.878
Be 0.000 0.378 0.122
Al 0.000 0.000 0.000
Al 0.000 0.500 0.500
Rh 0.500 0.210 0.066
Rh 0.500 0.790 0.934
Rh 0.500 0.066 0.790
Rh 0.500 0.710 0.434
Rh 0.500 0.934 0.210
Rh 0.500 0.290 0.566
Rh 0.500 0.566 0.710
Rh 0.500 0.434 0.290
Rh 0.500 0.500 0.000
Rh 0.500 0.000 0.500

Values from the calculation:
- size of the total moment (μB/f.u.) = 0.00
- DOS at the Fermi energy (states/eV/cell) = 10.578
- density (Mg/m³) = 9.9
- crystal system = tetragonal

## SmDyBeAl (PBE)

Data for an optimized crystal structure of SmDyBeAl.

a = 5.040 Å, b = 5.040 Å, c = 5.040 Å
α = 60.00°, β = 60.00°, γ = 60.00°
Positions (direct):
Be 0.000 0.000 0.000
Al 0.500 0.500 0.500
Sm 0.750 0.750 0.750
Dy 0.250 0.250 0.250

Values from the calculation:
- size of the total moment (μB/f.u.) = 0.00
- DOS at the Fermi energy (states/eV/cell) = 3.984
- density (Mg/m³) = 6.4
- crystal system = cubic

## TbDyBeAl (PBE)

Data for an optimized crystal structure of TbDyBeAl.

a = 4.995 Å, b = 4.995 Å, c = 4.995 Å
α = 60.00°, β = 60.00°, γ = 60.00°
Positions (direct):
Be 0.000 0.000 0.000
Tb 0.250 0.250 0.250
Al 0.500 0.500 0.500
Dy 0.750 0.750 0.750

Values from the calculation:
- size of the total moment (μB/f.u.) = 0.00
- DOS at the Fermi energy (states/eV/cell) = 3.650
- density (Mg/m³) = 6.7
- crystal system = cubic

## DyThBeAl (PBE)

Data for an optimized crystal structure of DyThBeAl.

a = 5.061 Å, b = 5.061 Å, c = 5.061 Å
α = 60.00°, β = 60.00°, γ = 60.00°
Positions (direct):
Be 0.500 0.500 0.500
Al 0.000 0.000 0.000
Th 0.750 0.750 0.750
Dy 0.250 0.250 0.250

Values from the calculation:
- size of the total moment (μB/f.u.) = 0.00
- DOS at the Fermi energy (states/eV/cell) = 1.165
- density (Mg/m³) = 7.8
- crystal system = cubic

## DyTmBeAl (PBE)

Data for an optimized crystal structure of DyTmBeAl.

a = 4.944 Å, b = 4.944 Å, c = 4.944 Å
α = 60.00°, β = 60.00°, γ = 60.00°
Positions (direct):
Be 0.000 0.000 0.000
Tm 0.750 0.750 0.750
Al 0.500 0.500 0.500
Dy 0.250 0.250 0.250

Values from the calculation:
- size of the total moment (μB/f.u.) = 0.00
- DOS at the Fermi energy (states/eV/cell) = 3.064
- density (Mg/m³) = 7.1
- crystal system = cubic

## Er2BeAl (PBE)

Data for an optimized crystal structure of Er2BeAl.

a = 4.932 Å, b = 4.932 Å, c = 4.932 Å
α = 60.00°, β = 60.00°, γ = 60.00°
Positions (direct):
Be 0.500 0.500 0.500
Al 0.000 0.000 0.000
Er 0.250 0.250 0.250
Er 0.750 0.750 0.750

Values from the calculation:
- size of the total moment (μB/f.u.) = 0.00
- DOS at the Fermi energy (states/eV/cell) = 3.012
- density (Mg/m³) = 7.3
- crystal system = cubic
- energy above the lowest structure with this stoichiometry (eV/f.u.) = 0.134

## ErBeAl (PBE)

Data for an optimized crystal structure of ErBeAl.

a = 3.985 Å, b = 3.678 Å, c = 7.978 Å
α = 76.67°, β = 90.00°, γ = 90.00°
Positions (direct):
Er 0.250 0.096 0.809
Er 0.750 0.904 0.191
Be 0.250 0.460 0.080
Be 0.750 0.540 0.920
Al 0.750 0.707 0.585
Al 0.250 0.293 0.415

Values from the calculation:
- size of the total moment (μB/f.u.) = 0.00
- DOS at the Fermi energy (states/eV/cell) = 4.846
- density (Mg/m³) = 5.9
- crystal system = orthorhombic
- energy above the lowest structure with this stoichiometry (eV/f.u.) = 0.578

## ErBeAl (PBE)

Data for an optimized crystal structure of ErBeAl.

a = 3.532 Å, b = 4.258 Å, c = 4.258 Å
α = 120.00°, β = 90.00°, γ = 90.00°
Positions (direct):
Be 0.167 0.000 0.000
Al 0.167 0.333 0.667
Er 0.667 0.667 0.333

Values from the calculation:
- size of the total moment (μB/f.u.) = 0.00
- DOS at the Fermi energy (states/eV/cell) = 1.435
- density (Mg/m³) = 6.1
- crystal system = hexagonal
- energy above the lowest structure with this stoichiometry (eV/f.u.) = 0.000

## Er2BeAl (PBE)

Data for an optimized crystal structure of Er2BeAl.

a = 3.334 Å, b = 3.334 Å, c = 10.543 Å
α = 80.90°, β = 80.90°, γ = 60.00°
Positions (direct):
Be 0.000 0.000 0.000
Al 0.500 0.500 0.500
Er 0.093 0.093 0.722
Er 0.907 0.907 0.278

Values from the calculation:
- size of the total moment (μB/f.u.) = 0.00
- DOS at the Fermi energy (states/eV/cell) = 2.718
- density (Mg/m³) = 6.2
- crystal system = trigonal
- energy above the lowest structure with this stoichiometry (eV/f.u.) = 2.993

## ErBeAl (PBE)

Data for an optimized crystal structure of ErBeAl.

a = 3.106 Å, b = 3.106 Å, c = 5.901 Å
α = 105.26°, β = 105.26°, γ = 90.00°
Last column: magnetic moment on the atom in μB.
Positions (direct):
Be 0.929 0.929 0.858  0.00
Al 0.314 0.314 0.627  0.00
Er 0.607 0.607 0.215  0.11

Values from the calculation:
- size of the total moment (μB/f.u.) = 0.12
- DOS at the Fermi energy (states/eV/cell) = 1.669
- density (Mg/m³) = 6.4
- crystal system = tetragonal
- energy above the lowest structure with this stoichiometry (eV/f.u.) = 0.720

## Er2BeAl (PBE)

Data for an optimized crystal structure of Er2BeAl.

a = 3.437 Å, b = 3.437 Å, c = 7.083 Å
α = 90.00°, β = 90.00°, γ = 90.00°
Positions (direct):
Be 0.500 0.500 0.000
Al 0.500 0.500 0.500
Er 0.000 0.000 0.770
Er 0.000 0.000 0.230

Values from the calculation:
- size of the total moment (μB/f.u.) = 0.00
- DOS at the Fermi energy (states/eV/cell) = 2.210
- density (Mg/m³) = 7.4
- crystal system = tetragonal
- energy above the lowest structure with this stoichiometry (eV/f.u.) = 0.000

## LiErBeAl (PBE)

Data for an optimized crystal structure of LiErBeAl.

a = 4.500 Å, b = 4.500 Å, c = 4.500 Å
α = 60.00°, β = 60.00°, γ = 60.00°
Positions (direct):
Be 0.500 0.500 0.500
Li 0.000 0.000 0.000
Al 0.250 0.250 0.250
Er 0.750 0.750 0.750

Values from the calculation:
- size of the total moment (μB/f.u.) = 0.00
- DOS at the Fermi energy (states/eV/cell) = 1.475
- density (Mg/m³) = 5.4
- crystal system = cubic

no.,ΔE_f (eV per formula unit),electronic total energy (eV per atom)
1,-0.32,-4.290
2,-1.14,-4.413
3,-4.32,-5.363
4,-7.21,-5.504
5,-1.64,-4.398
6,-0.37,-4.298
7,-9.51,-6.242
8,-6.78,-5.843
9,-13.53,-6.193
10,-4.89,-5.808
11,-10.28,-5.860
12,-4.57,-5.794
13,-9.75,-5.804
14,-8.62,-6.578
15,-0.40,-4.297
16,-0.50,-4.299
17,-0.22,-4.928
18,-0.55,-4.272
19,-0.57,-4.290
20,-0.21,-4.081
21,-0.79,-4.274
22,2.29,-3.575
23,-0.07,-4.033
24,-0.70,-4.324
25,-0.53,-3.619